# 1
Compound: CrCdRe2
Source: Alexandria via LeMat-Bulk
Functional: GGA-PBE
Structure: optimized geometry

Cell: 5.3832 8.4257 2.7436 Å, 90.00 90.00 90.00°
Space group Cmmm (No. 65)
Inequivalent atoms, fractional coordinates:
Cr 0.0000 0.0000 0.0000
Cd 0.0000 0.5000 0.0000
Re 0.2500 0.2500 0.5000

Output
formation energy from the elements: 0.70 eV per atom

***

# 2
Compound: Gd3Hg5S12
Source: Alexandria via LeMat-Bulk
Functional: GGA-PBE
Structure: optimized geometry

Cell: 15.7740 15.7740 15.7740 Å, 90.00 90.00 90.00°
Space group Ia-3d (No. 230)
Inequivalent atoms, fractional coordinates:
Gd 0.0000 0.2500 0.1250
Hg 0.0000 0.0000 0.0000
Hg 0.0000 0.2500 0.3750
S 0.0155 0.0697 0.6553

Output
ΔE_f (raw): -0.59 eV/atom

***

# 3
Compound: KCd2Au
Source: Alexandria via LeMat-Bulk
Functional: GGA-PBE
Structure: optimized geometry

Cell: 3.8092 4.7702 6.8572 Å, 90.00 105.21 90.00°
Space group Pm (No. 6)
Inequivalent atoms, fractional coordinates:
K 0.0000 0.0000 0.0000
Cd 0.2781 0.5000 0.5872
Cd 0.7247 0.0000 0.4814
Au 0.6157 0.5000 0.2451

Output
formation energy from the elements: -0.10 eV per atom

***

# 4
Compound: Pu2TiSn
Source: Alexandria via LeMat-Bulk
Functional: GGA-PBE
Structure: optimized geometry

Cell: 7.3468 7.3468 7.3468 Å, 90.00 90.00 90.00°
Space group Fm-3m (No. 225)
Inequivalent atoms, fractional coordinates:
Pu 0.2500 0.2500 0.2500
Ti 0.0000 0.0000 0.0000
Sn 0.0000 0.0000 0.5000

Output
formation energy from the elements: 0.10 eV per atom
polymorph energy (0 for the lowest one): 271.5 meV/atom

***

# 5
Compound: Tm3IrSe2
Source: Alexandria via LeMat-Bulk
Functional: GGA-PBE
Structure: optimized geometry

Cell: 8.2304 11.5299 24.1060 Å, 90.00 90.00 90.00°
Space group Fddd (No. 70, origin choice 2)
Inequivalent atoms, fractional coordinates:
Tm 0.1030 0.3750 0.3750
Tm 0.1117 0.3628 0.2129
Ir 0.1250 0.1250 0.0419
Se 0.1250 0.1250 0.3791
Se 0.1250 0.1250 0.5447

Output
ΔE_f (raw): -1.43 eV/atom

***

# 6
Compound: Dy4HoTl2
Source: Alexandria via LeMat-Bulk
Functional: GGA-PBE
Structure: optimized geometry

Cell: 6.6026 10.5234 6.1735 Å, 90.00 96.51 90.00°
Space group C2/m (No. 12)
Inequivalent atoms, fractional coordinates:
Dy 0.0000 0.2017 0.0000
Dy 0.2500 0.2500 0.5000
Ho 0.0000 0.0000 0.5000
Tl 0.0698 0.5000 0.7645

Output
formation energy from the elements: 0.11 eV per atom
polymorph energy (0 for the lowest one): 38.8 meV/atom

***

# 7
Compound: UZnIr4
Source: Alexandria via LeMat-Bulk
Functional: GGA-PBE
Structure: optimized geometry

Cell: 7.4179 7.4179 7.4179 Å, 90.00 90.00 90.00°
Space group F-43m (No. 216)
Inequivalent atoms, fractional coordinates:
U 0.0000 0.0000 0.0000
Zn 0.2500 0.2500 0.2500
Ir 0.1241 0.1241 0.6241

Output
formation energy from the elements: -0.31 eV per atom

***

# 8
Compound: Er8GaP3Se4
Source: Alexandria via LeMat-Bulk
Functional: GGA-PBE
Structure: optimized geometry

Cell: 8.0358 8.0358 19.8890 Å, 90.00 90.00 120.00°
Space group R-3m (No. 166, hexagonal axes)
Inequivalent atoms, fractional coordinates:
Er 0.0000 0.0000 0.2427
Er 0.0010 0.5005 0.7556
Ga 0.0000 0.0000 0.5000
P 0.0000 0.5000 0.5000
Se 0.0000 0.0000 0.0000
Se 0.0000 0.5000 0.0000

Output
ΔE_f (raw): -1.60 eV/atom

***

# 9
Compound: Pu3Ga8Ni3
Source: Alexandria via LeMat-Bulk
Functional: GGA-PBE
Structure: optimized geometry

Cell: 15.4287 4.4284 8.5273 Å, 90.00 122.76 90.00°
Space group C2/m (No. 12)
Inequivalent atoms, fractional coordinates:
Pu 0.0000 0.0000 0.0000
Pu 0.2160 0.5000 0.7050
Ga 0.0087 0.5000 0.6744
Ga 0.1365 0.0000 0.4313
Ga 0.1473 0.0000 0.8554
Ga 0.1488 0.5000 0.2704
Ni 0.0000 0.0000 0.5000
Ni 0.1585 0.5000 0.9976

Output
formation energy from the elements: -0.39 eV per atom

***

# 10
Compound: AsIrAuClO
Source: Alexandria via LeMat-Bulk
Functional: GGA-PBE
Structure: optimized geometry

Cell: 10.5187 3.7281 6.4499 Å, 90.00 104.77 90.00°
Space group Cm (No. 8)
Inequivalent atoms, fractional coordinates:
As 0.0000 0.0000 0.0000
Ir 0.1861 0.0000 0.2863
Au 0.3546 0.0000 0.0520
Cl 0.0589 0.0000 0.6822
O 0.2012 0.5000 0.3360

Output
ΔE_f (raw): -0.15 eV/atom
polymorph energy (0 for the lowest one): 150.5 meV/atom

***

# 11
Compound: BaNa2I2
Source: Alexandria via LeMat-Bulk
Functional: GGA-PBE
Structure: optimized geometry

Cell: 9.2161 9.2161 5.1367 Å, 90.00 90.00 90.00°
Space group P4/mbm (No. 127)
Inequivalent atoms, fractional coordinates:
Ba 0.0000 0.0000 0.0000
Na 0.1820 0.3180 0.5000
I 0.1561 0.6561 0.0000

Output
ΔE_f (raw): -0.84 eV/atom
polymorph energy (0 for the lowest one): 44.6 meV/atom

***

# 12
Compound: NiIr2Rh
Source: Alexandria via LeMat-Bulk
Functional: GGA-PBE
Structure: optimized geometry

Cell: 3.7805 3.7805 7.6225 Å, 90.00 90.00 90.00°
Space group I-4m2 (No. 119)
Inequivalent atoms, fractional coordinates:
Ni 0.0000 0.0000 0.0000
Ir 0.0000 0.0000 0.5000
Ir 0.0000 0.5000 0.2500
Rh 0.0000 0.5000 0.7500

Output
formation energy from the elements: 0.00 eV per atom

***

Number 1: magnetization 1.53 μB per formula unit. Number 2: magnetization 20.52 μB per formula unit. Number 3: magnetization 0.00 μB per formula unit. Number 4: magnetization 13.32 μB per formula unit. Number 5: magnetization 0.00 μB per formula unit. Number 6: magnetization 0.00 μB per formula unit. Number 7: magnetization 0.35 μB per formula unit. Number 8: magnetization 0.00 μB per formula unit. Number 9: magnetization 16.45 μB per formula unit. Number 10: magnetization 0.00 μB per formula unit. Number 11: magnetization 0.00 μB per formula unit. Number 12: magnetization 0.00 μB per formula unit.